Density functional theory data (PBE-GGA) for an optimized crystal structure of ScIn2Ni.

Cell lengths 5.468, 5.468, 5.106 Å; angles 115.01, 115.01, 35.77 degrees
Fractional positions:
Sc1 0.000 0.000 0.000
In1 0.219 0.219 0.717
In2 0.781 0.781 0.283
Ni1 0.500 0.500 0.500

Summary:
The calculation puts the volume at 79.94 Å³ per cell. As for the space group: C2/m, No. 12. Its total energy is -4.5620 eV/atom. For the density of states at the Fermi level, the calculation gives 0.625 states/eV/atom.